<w>
# Sc3AsS2 | Alexandria | PBE | relaxed
data_Sc3AsS2
_symmetry_space_group_name_H-M 'I m m m'
_symmetry_Int_Tables_number 71
_symmetry_space_group_name_Hall '-I 2 2'
_cell_length_a 3.752
_cell_length_b 5.318
_cell_length_c 11.279
_cell_angle_alpha 90.00
_cell_angle_beta 90.00
_cell_angle_gamma 90.00
loop_
_atom_site_label
_atom_site_fract_x
_atom_site_fract_y
_atom_site_fract_z
_atom_site_occupancy
Sc1 0.000 0.000 0.000 1
Sc2 0.000 0.000 0.331 1
As1 0.000 0.500 0.000 1
S1 0.000 0.500 0.334 1
# Calculated density (Mg/m³): 4.0
# M_tot (Bohr magnetons per cell): 0.0
# D(E_F) (states/eV/f.u.): 2.48

---

<x>
# Sc3AsS2 | Alexandria | PBE | relaxed
data_Sc3AsS2
_symmetry_space_group_name_H-M 'C m c m'
_symmetry_Int_Tables_number 63
_symmetry_space_group_name_Hall '-C 2c 2'
_cell_length_a 7.328
_cell_length_b 12.370
_cell_length_c 6.241
_cell_angle_alpha 90.00
_cell_angle_beta 90.00
_cell_angle_gamma 90.00
loop_
_atom_site_label
_atom_site_fract_x
_atom_site_fract_y
_atom_site_fract_z
_atom_site_occupancy
Sc1 0.000 0.092 0.250 1
Sc2 0.220 0.347 0.250 1
As1 0.000 0.279 0.750 1
S1 0.233 0.000 0.000 1
# Calculated density (Mg/m³): 3.2
# M_tot (Bohr magnetons per cell): 0.4
# D(E_F) (states/eV/f.u.): 3.50

---

Which one sits at the top of the stability order? <w> does.

---

<w>
# AsSeS3 | Alexandria | PBE | relaxed
data_AsSeS3
_symmetry_space_group_name_H-M 'P 1'
_symmetry_Int_Tables_number 1
_cell_length_a 3.457
_cell_length_b 9.455
_cell_length_c 9.517
_cell_angle_alpha 89.99
_cell_angle_beta 89.94
_cell_angle_gamma 89.81
loop_
_symmetry_equiv_pos_as_xyz
'x,y,z'
loop_
_atom_site_label
_atom_site_fract_x
_atom_site_fract_y
_atom_site_fract_z
_atom_site_occupancy
As1 0.000 0.000 0.000 1
As2 0.001 0.864 0.500 1
Se1 0.499 0.003 0.617 1
Se2 0.501 0.860 0.117 1
S1 0.003 0.671 0.649 1
S2 0.005 0.504 0.503 1
S3 0.005 0.570 0.310 1
S4 0.997 0.360 0.003 1
S5 0.999 0.193 0.149 1
S6 0.999 0.293 0.810 1
# Calculated density (Mg/m³): 2.7
# M_tot (Bohr magnetons per cell): 0.0
# D(E_F) (states/eV/f.u.): 0.87

---

<x>
# AsSeS3 | Alexandria | PBE | relaxed
data_AsSeS3
_symmetry_space_group_name_H-M 'P m -3 m'
_symmetry_Int_Tables_number 221
_symmetry_space_group_name_Hall '-P 4 2 3'
_cell_length_a 4.728
_cell_length_b 4.728
_cell_length_c 4.728
_cell_angle_alpha 90.00
_cell_angle_beta 90.00
_cell_angle_gamma 90.00
loop_
_atom_site_label
_atom_site_fract_x
_atom_site_fract_y
_atom_site_fract_z
_atom_site_occupancy
As1 0.000 0.000 0.000 1
Se1 0.500 0.500 0.500 1
S1 0.000 0.000 0.500 1
# Calculated density (Mg/m³): 3.9
# M_tot (Bohr magnetons per cell): 0.0
# D(E_F) (states/eV/f.u.): 5.29

---

Which one sits at the top of the stability order? <w> does.

---

<w>
# AsSe2S | Alexandria | PBE | relaxed
data_AsSe2S
_symmetry_space_group_name_H-M 'I -4 2 d'
_symmetry_Int_Tables_number 122
_symmetry_space_group_name_Hall 'I -4 2bw'
_cell_length_a 6.916
_cell_length_b 6.916
_cell_length_c 7.929
_cell_angle_alpha 90.00
_cell_angle_beta 90.00
_cell_angle_gamma 90.00
loop_
_atom_site_label
_atom_site_fract_x
_atom_site_fract_y
_atom_site_fract_z
_atom_site_occupancy
As1 0.000 0.000 0.000 1
Se1 0.246 0.250 0.125 1
S1 0.000 0.000 0.500 1
# Calculated density (Mg/m³): 4.6
# M_tot (Bohr magnetons per cell): 0.0
# D(E_F) (states/eV/f.u.): 2.72

---

<x>
# AsSe2S | Alexandria | PBE | relaxed
data_AsSe2S
_symmetry_space_group_name_H-M 'R -3 m'
_symmetry_Int_Tables_number 166
_symmetry_space_group_name_Hall '-R 3 2"'
_cell_length_a 3.8317
_cell_length_b 3.8317
_cell_length_c 23.6713
_cell_angle_alpha 90.00
_cell_angle_beta 90.00
_cell_angle_gamma 120.00
loop_
_atom_site_label
_atom_site_fract_x
_atom_site_fract_y
_atom_site_fract_z
_atom_site_occupancy
As1 0.0000 0.0000 0.0000 1
Se1 0.0000 0.0000 0.4010 1
S1 0.0000 0.0000 0.5000 1
# Calculated density (Mg/m³): 4.4
# M_tot (Bohr magnetons per cell): 0.0
# D(E_F) (states/eV/f.u.): 3.67

---

<y>
# AsSe2S | Alexandria | PBE | relaxed
data_AsSe2S
_symmetry_space_group_name_H-M 'F m -3 m'
_symmetry_Int_Tables_number 225
_symmetry_space_group_name_Hall '-F 4 2 3'
_cell_length_a 6.731
_cell_length_b 6.731
_cell_length_c 6.731
_cell_angle_alpha 90.00
_cell_angle_beta 90.00
_cell_angle_gamma 90.00
loop_
_atom_site_label
_atom_site_fract_x
_atom_site_fract_y
_atom_site_fract_z
_atom_site_occupancy
As1 0.000 0.000 0.000 1
Se1 0.250 0.250 0.250 1
S1 0.000 0.000 0.500 1
# Calculated density (Mg/m³): 5.8
# M_tot (Bohr magnetons per cell): 0.0
# D(E_F) (states/eV/f.u.): 3.74

---

Which one sits at the top of the stability order? <x> does.

---

<w>
# AsSeS2 | Alexandria | PBE | relaxed
data_AsSeS2
_symmetry_space_group_name_H-M 'R -3 m'
_symmetry_Int_Tables_number 166
_symmetry_space_group_name_Hall '-R 3 2"'
_cell_length_a 3.6239
_cell_length_b 3.6239
_cell_length_c 23.5534
_cell_angle_alpha 90.00
_cell_angle_beta 90.00
_cell_angle_gamma 120.00
loop_
_atom_site_label
_atom_site_fract_x
_atom_site_fract_y
_atom_site_fract_z
_atom_site_occupancy
As1 0.0000 0.0000 0.0000 1
Se1 0.0000 0.0000 0.5000 1
S1 0.0000 0.0000 0.3976 1
# Calculated density (Mg/m³): 4.1
# M_tot (Bohr magnetons per cell): 0.0
# D(E_F) (states/eV/f.u.): 2.22

---

<x>
# AsSeS2 | Alexandria | PBE | relaxed
data_AsSeS2
_symmetry_space_group_name_H-M 'I -4 2 d'
_symmetry_Int_Tables_number 122
_symmetry_space_group_name_Hall 'I -4 2bw'
_cell_length_a 6.776
_cell_length_b 6.776
_cell_length_c 7.696
_cell_angle_alpha 90.00
_cell_angle_beta 90.00
_cell_angle_gamma 90.00
loop_
_atom_site_label
_atom_site_fract_x
_atom_site_fract_y
_atom_site_fract_z
_atom_site_occupancy
As1 0.000 0.000 0.000 1
Se1 0.000 0.000 0.500 1
S1 0.234 0.250 0.125 1
# Calculated density (Mg/m³): 4.1
# M_tot (Bohr magnetons per cell): 0.0
# D(E_F) (states/eV/f.u.): 2.94

---

Which one sits at the top of the stability order? <w> does.